This record from Alexandria describes a geometry-optimized K3Cd2RhO6 structure. The functional is PBE.

Cell: 5.8816 5.8816 6.3189 Å, 99.00 99.00 119.93°
Closest atoms and distances in Å follow each position.
Positions (direct):
O 0.6485 0.9380 0.8151  1 Rh 2.03
O 0.0620 0.3515 0.1849  1 Rh 2.03
O 0.9380 0.6485 0.8151  1 Rh 2.03
O 0.2257 0.2257 0.8138  1 Rh 2.03
O 0.3515 0.0620 0.1849  1 Rh 2.03
O 0.7743 0.7743 0.1862  1 Rh 2.03
K 0.5000 0.5000 0.5000  6 O 2.64-2.92
K 0.8289 0.1711 0.5000  6 O 2.65-2.88
K 0.1711 0.8289 0.5000  6 O 2.65-2.88
Rh 0.0000 0.0000 0.0000  6 O 2.03
Cd 0.6663 0.3337 0.0000  6 O 2.38
Cd 0.3337 0.6663 0.0000  6 O 2.38

Its formation energy without anion corrections is -1089.2 meV per atom. Its space group is C2/m, No. 12. The total magnetic moment is 2.06 Bohr magnetons per cell.